{
  "formula": "La3Pr7Ho2",
  "functional": "PBE",
  "state": "optimized geometry",
  "cell": [[5.947, 0.000, 0.000], [0.000, 3.657, 0.000], [-2.923, 0.000, 19.789]],
  "species": ["La", "La", "La", "Pr", "Pr", "Pr", "Pr", "Pr", "Pr", "Pr", "Ho", "Ho"],
  "frac_coords": [[0.000, 0.000, 0.000], [0.316, 0.500, 0.633], [0.684, 0.500, 0.367], [0.075, 0.500, 0.147], [0.231, 0.000, 0.462], [0.406, 0.000, 0.813], [0.500, 0.500, 0.000], [0.594, 0.000, 0.187], [0.769, 0.000, 0.538], [0.925, 0.500, 0.853], [0.148, 0.000, 0.295], [0.852, 0.000, 0.705]],
  "polymorph_energy_kj_per_mol_atoms": 0.0,
  "delta_e_f_ev_per_fu": 1.13,
  "e_tot_ev_per_cell": -56.263
}


{
  "formula": "La5Pr2Ho4",
  "functional": "PBE",
  "state": "optimized geometry",
  "cell": [[-1.790, 4.670, 11.911], [1.790, -4.670, 11.911], [1.790, 4.670, -11.911]],
  "species": ["La", "La", "La", "La", "La", "Pr", "Pr", "Ho", "Ho", "Ho", "Ho"],
  "frac_coords": [[0.000, 0.000, 0.000], [0.056, 0.356, 0.699], [0.343, 0.644, 0.699], [0.657, 0.356, 0.301], [0.944, 0.644, 0.301], [0.268, 0.768, 0.500], [0.732, 0.232, 0.500], [0.317, 0.500, 0.817], [0.404, 0.904, 0.500], [0.596, 0.096, 0.500], [0.683, 0.500, 0.183]],
  "polymorph_energy_kj_per_mol_atoms": 1.8,
  "delta_e_f_ev_per_fu": 1.68,
  "e_tot_ev_per_cell": -50.824
}


{
  "formula": "LaPr14Ho",
  "functional": "PBE",
  "state": "optimized geometry",
  "cell": [[7.401, 0.000, 0.000], [0.000, 7.401, 0.000], [0.000, 0.000, 10.505]],
  "species": ["La", "Pr", "Pr", "Pr", "Pr", "Pr", "Pr", "Pr", "Pr", "Pr", "Pr", "Pr", "Pr", "Pr", "Pr", "Ho"],
  "frac_coords": [[0.000, 0.000, 0.000], [0.000, 0.000, 0.500], [0.000, 0.500, 0.000], [0.000, 0.500, 0.500], [0.252, 0.252, 0.248], [0.252, 0.252, 0.752], [0.252, 0.748, 0.248], [0.252, 0.748, 0.752], [0.500, 0.000, 0.000], [0.500, 0.000, 0.500], [0.500, 0.500, 0.500], [0.748, 0.252, 0.248], [0.748, 0.252, 0.752], [0.748, 0.748, 0.248], [0.748, 0.748, 0.752], [0.500, 0.500, 0.000]],
  "delta_e_f_ev_per_fu": 0.18,
  "e_tot_ev_per_cell": -76.241
}


{
  "formula": "La4PrHo10",
  "functional": "PBE",
  "state": "optimized geometry",
  "cell": [[-4.865, 4.865, 5.406], [4.865, -4.865, 5.406], [4.865, 4.865, -5.406]],
  "species": ["La", "La", "La", "La", "Pr", "Ho", "Ho", "Ho", "Ho", "Ho", "Ho", "Ho", "Ho", "Ho", "Ho"],
  "frac_coords": [[0.065, 0.335, 0.400], [0.335, 0.935, 0.270], [0.665, 0.065, 0.730], [0.935, 0.665, 0.600], [0.000, 0.000, 0.000], [0.133, 0.458, 0.907], [0.226, 0.133, 0.676], [0.250, 0.750, 0.500], [0.450, 0.774, 0.907], [0.458, 0.550, 0.324], [0.542, 0.450, 0.676], [0.550, 0.226, 0.093], [0.750, 0.250, 0.500], [0.774, 0.867, 0.324], [0.867, 0.542, 0.093]],
  "delta_e_f_ev_per_fu": 5.11,
  "e_tot_ev_per_cell": -65.153
}


{
  "formula": "La2Pr5Ho12",
  "functional": "PBE",
  "state": "optimized geometry",
  "cell": [[7.882, -4.682, 0.000], [7.882, 4.682, 0.000], [-0.300, 0.000, 8.702]],
  "species": ["La", "La", "Pr", "Pr", "Pr", "Pr", "Pr", "Ho", "Ho", "Ho", "Ho", "Ho", "Ho", "Ho", "Ho", "Ho", "Ho", "Ho", "Ho"],
  "frac_coords": [[0.179, 0.821, 0.000], [0.821, 0.179, 0.000], [0.205, 0.205, 0.016], [0.269, 0.269, 0.427], [0.500, 0.500, 0.500], [0.731, 0.731, 0.573], [0.795, 0.795, 0.984], [0.058, 0.058, 0.335], [0.060, 0.683, 0.340], [0.173, 0.528, 0.757], [0.317, 0.940, 0.660], [0.420, 0.420, 0.122], [0.472, 0.827, 0.243], [0.528, 0.173, 0.757], [0.580, 0.580, 0.878], [0.683, 0.060, 0.340], [0.827, 0.472, 0.243], [0.940, 0.317, 0.660], [0.942, 0.942, 0.665]],
  "polymorph_energy_kj_per_mol_atoms": 10.4,
  "delta_e_f_ev_per_fu": 2.49,
  "e_tot_ev_per_cell": -86.191
}


{
  "formula": "La6Pr12Ho",
  "functional": "PBE",
  "state": "optimized geometry",
  "cell": [[6.931, 4.002, 4.242], [-6.931, 4.002, 4.242], [0.000, -8.004, 4.242]],
  "species": ["La", "La", "La", "La", "La", "La", "Pr", "Pr", "Pr", "Pr", "Pr", "Pr", "Pr", "Pr", "Pr", "Pr", "Pr", "Pr", "Ho"],
  "frac_coords": [[0.160, 0.591, 0.591], [0.409, 0.409, 0.840], [0.409, 0.840, 0.409], [0.591, 0.160, 0.591], [0.591, 0.591, 0.160], [0.840, 0.409, 0.409], [0.000, 0.256, 0.744], [0.000, 0.744, 0.256], [0.148, 0.148, 0.417], [0.148, 0.417, 0.148], [0.256, 0.000, 0.744], [0.256, 0.744, 0.000], [0.417, 0.148, 0.148], [0.583, 0.852, 0.852], [0.744, 0.000, 0.256], [0.744, 0.256, 0.000], [0.852, 0.583, 0.852], [0.852, 0.852, 0.583], [0.500, 0.500, 0.500]],
  "polymorph_energy_kj_per_mol_atoms": 6.6,
  "delta_e_f_ev_per_fu": 3.36,
  "e_tot_ev_per_cell": -88.134
}


| no. | calculated volume (Å³/cell) |
| --- | --- |
| 1 | 430.40 |
| 2 | 398.37 |
| 3 | 575.42 |
| 4 | 511.78 |
| 5 | 642.21 |
| 6 | 706.06 |